*1*
! AuBrCl2 (GGA-PBEsol, relaxed); values from VASP
! Total magnetization ... 0.000 μB/f.u.
! Volume ... 24.7 Å³ per atom
&SYSTEM
  ibrav = 0, nat = 4, ntyp = 3
/
ATOMIC_SPECIES
Au 196.97 Au.upf
Br 79.90 Br.upf
Cl 35.45 Cl.upf
CELL_PARAMETERS angstrom
3.8459 0.0000 0.0000
0.0000 5.7671 0.0000
-1.2321 0.0000 4.4582
ATOMIC_POSITIONS angstrom
Au 0.0000 0.0000 0.0000
Br 0.5958 2.8836 0.2225
Cl 0.4961 2.8836 2.5872
Cl 2.6530 0.0000 2.0753


*2*
! AuBrCl2 (GGA-PBEsol, relaxed); values from VASP
! Total magnetization ... 0.000 μB/f.u.
! Volume ... 24.3 Å³ per atom
&SYSTEM
  ibrav = 0, nat = 4, ntyp = 3
/
ATOMIC_SPECIES
Au 196.97 Au.upf
Br 79.90 Br.upf
Cl 35.45 Cl.upf
CELL_PARAMETERS angstrom
-1.7307 3.4210 4.0962
1.7307 -3.4210 4.0962
1.7307 3.4210 -4.0962
ATOMIC_POSITIONS angstrom
Au 0.0000 0.0000 0.0000
Br 0.0000 0.0000 4.0962
Cl 1.7307 0.0000 1.6286
Cl 0.0000 3.4210 2.4676


*3*
! AuBrCl2 (GGA-PBEsol, relaxed); values from VASP
! Total magnetization ... 0.000 μB/f.u.
! Volume ... 25.9 Å³ per atom
&SYSTEM
  ibrav = 0, nat = 4, ntyp = 3
/
ATOMIC_SPECIES
Au 196.97 Au.upf
Br 79.90 Br.upf
Cl 35.45 Cl.upf
CELL_PARAMETERS angstrom
1.8160 -3.6164 0.0000
1.8160 3.6164 0.0000
0.0000 0.0000 7.8754
ATOMIC_POSITIONS angstrom
Au 0.0000 0.0000 0.0000
Br 1.8160 0.0000 1.7213
Cl 0.0000 0.0000 3.6930
Cl 1.8160 0.0000 6.3201


Relative energies with respect to the most stable structure, expressed in meV per atom: *1* 156; *2* 27; *3* 0.


*1*
! AuBrCl2 (GGA-PBEsol, relaxed); values from VASP
! Total magnetization ... 0.000 μB/f.u.
! Volume ... 19.8 Å³ per atom
&SYSTEM
  ibrav = 0, nat = 4, ntyp = 3
/
ATOMIC_SPECIES
Au 196.97 Au.upf
Br 79.90 Br.upf
Cl 35.45 Cl.upf
CELL_PARAMETERS angstrom
5.1127 0.0000 0.0000
0.0000 5.1127 0.0000
0.0000 0.0000 3.0265
ATOMIC_POSITIONS angstrom
Au 0.0000 0.0000 0.0000
Br 2.5563 2.5563 0.0000
Cl 0.0000 2.5563 1.5132
Cl 2.5563 0.0000 1.5132


*2*
! AuBrCl2 (GGA-PBEsol, relaxed); values from VASP
! Total magnetization ... 0.005 μB/f.u.
! Volume ... 22.3 Å³ per atom
&SYSTEM
  ibrav = 0, nat = 4, ntyp = 3
/
ATOMIC_SPECIES
Au 196.97 Au.upf
Br 79.90 Br.upf
Cl 35.45 Cl.upf
CELL_PARAMETERS angstrom
1.9023 1.0983 7.1112
-1.9023 1.0983 7.1112
0.0000 -2.1966 7.1112
ATOMIC_POSITIONS angstrom
Au 0.0000 0.0000 0.0000
Br 0.0000 0.0000 10.6668
Cl 0.0000 0.0000 5.7721
Cl 0.0000 0.0000 15.5615


Relative energies with respect to the most stable structure, expressed in meV per atom: *1* 360; *2* 0.


*1*
! AuBrCl2 (GGA-PBEsol, relaxed); values from VASP
! Total magnetization ... 0.000 μB/f.u.
! Volume ... 22.4 Å³ per atom
&SYSTEM
  ibrav = 0, nat = 4, ntyp = 3
/
ATOMIC_SPECIES
Au 196.97 Au.upf
Br 79.90 Br.upf
Cl 35.45 Cl.upf
CELL_PARAMETERS angstrom
3.6720 -3.7585 0.0000
3.6720 3.7585 0.0000
-1.6834 0.0000 3.2446
ATOMIC_POSITIONS angstrom
Au 0.0000 0.0000 0.0000
Br 3.6720 0.0000 0.0000
Cl 1.8360 1.8792 0.0000
Cl 1.8360 -1.8792 0.0000


*2*
! AuBrCl2 (GGA-PBEsol, relaxed); values from VASP
! Total magnetization ... 0.000 μB/f.u.
! Volume ... 21.0 Å³ per atom
&SYSTEM
  ibrav = 0, nat = 4, ntyp = 3
/
ATOMIC_SPECIES
Au 196.97 Au.upf
Br 79.90 Br.upf
Cl 35.45 Cl.upf
CELL_PARAMETERS angstrom
3.2626 0.0000 0.0000
0.0000 3.2626 0.0000
0.0000 0.0000 7.8942
ATOMIC_POSITIONS angstrom
Au 0.0000 0.0000 0.0000
Br 1.6313 1.6313 1.8233
Cl 0.0000 0.0000 3.7855
Cl 1.6313 1.6313 6.4090


Relative energies with respect to the most stable structure, expressed in meV per atom: *1* 0; *2* 209.